First-principles (PBE) data for crystalline SiIrOs2 at its relaxed geometry, as listed in Alexandria via LeMat-Bulk.

Unit cell a=3.8248 b=3.8248 c=7.6184 alpha=90.00 beta=90.00 gamma=90.00
With the nearest neighbours (Å) after each atom.
Space group I-4m2 (No. 119)
Asymmetric unit:
Si 0.0000 0.0000 0.0000 x2  8 Os 2.70, 4 Ir 2.70
Ir 0.0000 0.5000 0.7500 x2  8 Os 2.70, 4 Si 2.70
Os 0.0000 0.0000 0.5000 x2  4 Os 2.70, 4 Ir 2.70, 4 Si 2.70
Os 0.0000 0.5000 0.2500 x2  4 Os 2.70, 4 Si 2.70, 4 Ir 2.70

Calculated values
Uncorrected formation energy   0.157 eV/f.u.
Spin magnetization   0.000 μB/f.u.